[1]
! Ho8Bi2Sb (PBE, optimized geometry); values from VASP
! - formation energy without anion corrections (eV per atom) = -0.4263
! - N(E_F) (states/eV/cell) = 13.0
! - calculated total energy (eV/atom) = -4.8360
&SYSTEM
  ibrav = 0, nat = 11, ntyp = 3
/
ATOMIC_SPECIES
Bi 208.98 Bi.upf
Ho 164.93 Ho.upf
Sb 121.76 Sb.upf
CELL_PARAMETERS angstrom
-0.705 5.114 0.306
-1.290 -0.579 6.711
9.229 -1.467 2.084
ATOMIC_POSITIONS angstrom
Bi 5.330 3.180 2.831
Bi 1.905 -0.112 6.269
Ho 6.989 3.144 7.266
Ho 4.853 0.212 7.641
Ho 6.678 0.637 4.746
Ho 0.245 -0.076 1.835
Ho 3.853 2.807 5.676
Ho 3.381 0.261 3.425
Ho 0.557 2.431 4.355
Ho 2.382 2.856 1.460
Sb -0.353 2.557 0.153

---

[2]
! AlCd2Ag2 (PBE, optimized geometry); values from VASP
! - formation energy (eV/atom) = 0.13
! - ΔE to the lowest computed polymorph (kJ/mol of formula units) = 24.1
! - N(E_F) (states/eV/cell) = 3.7
! - calculated total energy (eV/atom) = -2.1206
&SYSTEM
  ibrav = 0, nat = 10, ntyp = 3
/
ATOMIC_SPECIES
Ag 107.87 Ag.upf
Cd 112.41 Cd.upf
Al 26.98 Al.upf
CELL_PARAMETERS angstrom
8.373 0.000 0.000
0.000 8.373 0.000
0.000 0.000 2.951
ATOMIC_POSITIONS angstrom
Ag 5.628 6.932 1.475
Ag 2.745 1.441 1.475
Ag 1.441 5.628 1.475
Ag 6.932 2.745 1.475
Cd 3.127 7.314 0.000
Cd 1.059 3.127 0.000
Cd 5.246 1.059 0.000
Cd 7.314 5.246 0.000
Al 4.186 4.186 0.000
Al 0.000 0.000 0.000

---

[3]
! PaSi2Ni2 (PBE, optimized geometry); values from VASP
! - formation energy without anion corrections (eV per atom) = -0.7961
! - N(E_F) (states/eV/cell) = 5.2
! - calculated total energy (eV/atom) = -7.1771
&SYSTEM
  ibrav = 0, nat = 10, ntyp = 3
/
ATOMIC_SPECIES
Pa 231.04 Pa.upf
Ni 58.69 Ni.upf
Si 28.09 Si.upf
CELL_PARAMETERS angstrom
4.022 0.000 0.000
0.000 4.022 0.000
0.000 0.000 9.260
ATOMIC_POSITIONS angstrom
Pa 2.011 0.000 2.278
Pa 0.000 2.011 6.982
Ni 2.011 0.000 5.775
Ni 0.000 0.000 0.000
Ni 2.011 2.011 0.000
Ni 0.000 2.011 3.486
Si 2.011 0.000 8.072
Si 0.000 0.000 4.630
Si 2.011 2.011 4.630
Si 0.000 2.011 1.189

---

[4]
! Er2Ga2Cu (PBE, optimized geometry); values from VASP
! - formation energy (eV/atom) = -0.56
! - ΔE to the lowest computed polymorph (kJ/mol of formula units) = 0.0
! - N(E_F) (states/eV/cell) = 5.1
! - calculated total energy (eV/atom) = -4.4150
&SYSTEM
  ibrav = 0, nat = 10, ntyp = 3
/
ATOMIC_SPECIES
Er 167.26 Er.upf
Ga 69.72 Ga.upf
Cu 63.55 Cu.upf
CELL_PARAMETERS angstrom
4.200 0.000 0.989
2.024 5.187 0.817
-0.003 -0.257 9.423
ATOMIC_POSITIONS angstrom
Er 2.774 1.385 7.042
Er 1.854 1.349 1.540
Er 3.446 3.545 4.187
Er 4.367 3.581 9.689
Ga 5.060 3.617 6.745
Ga 1.160 1.312 4.484
Ga 4.428 0.594 9.427
Ga 1.792 4.336 1.801
Cu 2.756 4.465 7.119
Cu 3.464 0.465 4.110

---

[5]
! SrPmBiSb (PBE, optimized geometry); values from VASP
! - formation energy without anion corrections (eV per atom) = -0.7501
! - N(E_F) (states/eV/cell) = 1.9
! - calculated total energy (eV/atom) = -4.3591
&SYSTEM
  ibrav = 0, nat = 4, ntyp = 4
/
ATOMIC_SPECIES
Sb 121.76 Sb.upf
Sr 87.62 Sr.upf
Bi 208.98 Bi.upf
Pm 145.00 Pm.upf
CELL_PARAMETERS angstrom
-2.598 -4.989 -0.710
0.158 -2.587 -5.043
3.065 -4.723 -0.669
ATOMIC_POSITIONS angstrom
Sb 0.469 -9.224 -4.816
Sr 0.000 0.000 0.000
Bi 0.156 -3.075 -1.605
Pm 0.313 -6.149 -3.211

---

[6]
! K2TlAuF6 (PBE, optimized geometry); values from VASP
! - formation energy without anion corrections (eV per atom) = -1.9002
! - N(E_F) (states/eV/cell) = 3.5
! - calculated total energy (eV/atom) = -3.8069
&SYSTEM
  ibrav = 0, nat = 10, ntyp = 4
/
ATOMIC_SPECIES
K 39.10 K.upf
Au 196.97 Au.upf
F 19.00 F.upf
Tl 204.38 Tl.upf
CELL_PARAMETERS angstrom
0.000 4.591 4.591
4.591 0.000 4.591
4.591 4.591 0.000
ATOMIC_POSITIONS angstrom
K 2.295 2.295 2.295
K 6.886 6.886 6.886
Au 0.000 0.000 0.000
F 6.844 4.591 4.591
F 4.591 4.591 2.338
F 4.591 2.338 4.591
F 2.338 4.591 4.591
F 4.591 4.591 6.844
F 4.591 6.844 4.591
Tl 4.591 4.591 4.591

---

[7]
! Mg2Cu2Ru (PBE, optimized geometry); values from VASP
! - formation energy (eV/atom) = 0.11
! - N(E_F) (states/eV/cell) = 4.0
! - calculated total energy (eV/atom) = -4.0222
&SYSTEM
  ibrav = 0, nat = 10, ntyp = 3
/
ATOMIC_SPECIES
Cu 63.55 Cu.upf
Mg 24.30 Mg.upf
Ru 101.07 Ru.upf
CELL_PARAMETERS angstrom
-0.841 5.867 2.720
-6.460 -0.633 -0.631
-0.169 -1.550 3.291
ATOMIC_POSITIONS angstrom
Cu -4.784 4.724 1.979
Cu -5.952 1.635 0.464
Cu -2.516 0.509 0.110
Cu -1.348 3.599 1.625
Mg -5.956 2.693 2.976
Mg -1.514 0.991 2.404
Mg -4.626 -0.152 1.705
Mg -2.844 3.835 3.675
Ru 0.000 0.000 0.000
Ru -3.650 2.617 1.044

---

[8]
! TbScPd (PBE, optimized geometry); values from VASP
! - formation energy (eV/atom) = -0.54
! - ΔE to the lowest computed polymorph (kJ/mol of formula units) = 23.6
! - N(E_F) (states/eV/cell) = 3.0
! - calculated total energy (eV/atom) = -5.9214
&SYSTEM
  ibrav = 0, nat = 3, ntyp = 3
/
ATOMIC_SPECIES
Tb 158.93 Tb.upf
Pd 106.42 Pd.upf
Sc 44.96 Sc.upf
CELL_PARAMETERS angstrom
-0.283 1.678 -3.003
-3.417 0.210 0.439
2.517 4.120 4.048
ATOMIC_POSITIONS angstrom
Tb 0.025 0.188 0.103
Pd -1.610 2.770 -0.285
Sc 0.401 3.050 1.666

---

[9]
! TaAl4 (PBE, optimized geometry); values from VASP
! - formation energy (eV/atom) = -0.17
! - ΔE to the lowest computed polymorph (kJ/mol of formula units) = 0.0
! - N(E_F) (states/eV/cell) = 3.1
! - calculated total energy (eV/atom) = -5.5316
&SYSTEM
  ibrav = 0, nat = 5, ntyp = 2
/
ATOMIC_SPECIES
Al 26.98 Al.upf
Ta 180.95 Ta.upf
CELL_PARAMETERS angstrom
5.028 -0.003 0.000
-3.627 3.482 0.000
-0.700 -1.739 4.665
ATOMIC_POSITIONS angstrom
Al 2.470 1.027 0.865
Al 0.802 -0.323 2.757
Al -1.770 0.713 3.801
Al -0.102 2.062 1.908
Ta 0.000 0.000 0.000

---

[10]
! Be2Al2Ni (PBE, optimized geometry); values from VASP
! - formation energy (eV/atom) = -0.04
! - ΔE to the lowest computed polymorph (kJ/mol of formula units) = 0.0
! - N(E_F) (states/eV/cell) = 4.4
! - calculated total energy (eV/atom) = -4.1859
&SYSTEM
  ibrav = 0, nat = 10, ntyp = 3
/
ATOMIC_SPECIES
Ni 58.69 Ni.upf
Be 9.01 Be.upf
Al 26.98 Al.upf
CELL_PARAMETERS angstrom
5.753 0.000 0.000
0.000 5.753 0.000
0.000 0.000 3.500
ATOMIC_POSITIONS angstrom
Ni 2.876 2.876 0.000
Ni 0.000 0.000 0.000
Be 5.009 3.620 0.000
Be 2.133 5.009 0.000
Be 3.620 0.744 0.000
Be 0.744 2.133 0.000
Al 1.889 0.987 1.750
Al 0.987 3.864 1.750
Al 4.766 1.889 1.750
Al 3.864 4.766 1.750

---

[11]
! Er8P4Se3 (PBE, optimized geometry); values from VASP
! - formation energy without anion corrections (eV per atom) = -1.5848
! - N(E_F) (states/eV/cell) = 6.0
! - calculated total energy (eV/atom) = -6.1578
&SYSTEM
  ibrav = 0, nat = 15, ntyp = 3
/
ATOMIC_SPECIES
P 30.97 P.upf
Er 167.26 Er.upf
Se 78.96 Se.upf
CELL_PARAMETERS angstrom
6.963 -0.149 -3.816
-4.489 6.553 -0.211
-0.158 0.125 7.944
ATOMIC_POSITIONS angstrom
P -0.079 0.063 3.972
P 0.000 0.000 0.000
P 3.482 -0.074 -1.908
P -2.245 3.277 -0.105
Er -1.217 1.697 5.950
Er 0.035 5.027 3.944
Er 2.281 1.503 -0.027
Er -3.431 4.982 1.782
Er 2.274 1.609 4.060
Er 5.761 1.469 -1.902
Er -3.445 5.061 5.819
Er 0.042 4.921 -0.143
Se 3.403 -0.012 2.064
Se 1.237 3.202 -2.013
Se 1.158 3.265 1.959

---

[12]
! BaCrSb2 (PBE, optimized geometry); values from VASP
! - formation energy without anion corrections (eV per atom) = 0.1854
! - N(E_F) (states/eV/cell) = 2.9
! - calculated total energy (eV/atom) = -4.7623
&SYSTEM
  ibrav = 0, nat = 4, ntyp = 3
/
ATOMIC_SPECIES
Sb 121.76 Sb.upf
Cr 52.00 Cr.upf
Ba 137.33 Ba.upf
CELL_PARAMETERS angstrom
-1.172 5.315 0.930
-3.602 2.642 -3.246
-4.957 1.431 1.969
ATOMIC_POSITIONS angstrom
Sb -2.433 2.347 -0.087
Sb 0.000 0.000 0.000
Cr -7.299 7.041 -0.261
Ba -4.866 4.694 -0.174

---

[13]
! Pr2DyYTm6 (PBE, optimized geometry); values from VASP
! - formation energy (eV/atom) = 0.12
! - N(E_F) (states/eV/cell) = 26.3
! - calculated total energy (eV/atom) = -4.6272
&SYSTEM
  ibrav = 0, nat = 20, ntyp = 4
/
ATOMIC_SPECIES
Tm 168.93 Tm.upf
Y 88.91 Y.upf
Pr 140.91 Pr.upf
Dy 162.50 Dy.upf
CELL_PARAMETERS angstrom
9.113 -2.200 -2.283
0.777 8.455 -2.025
0.777 -2.337 8.374
ATOMIC_POSITIONS angstrom
Tm 8.651 -0.651 1.606
Tm 1.200 -0.793 5.829
Tm 6.573 1.188 3.515
Tm 6.732 -2.653 3.211
Tm 9.468 4.710 -1.763
Tm 4.911 -0.837 5.783
Tm 2.017 4.568 2.459
Tm 5.756 4.754 -1.718
Tm 8.492 -0.490 5.456
Tm 3.936 6.571 0.854
Tm 2.175 4.407 -1.391
Tm 4.094 2.729 0.551
Y 3.056 7.717 -2.415
Y 7.612 -3.799 6.481
Pr 5.337 4.182 3.193
Pr 9.893 1.936 3.156
Pr 0.774 1.982 0.909
Pr 5.331 -0.265 0.872
Dy 7.612 2.422 0.485
Dy 3.056 1.495 3.580

---

[14]
! Ba2YZr (PBE, optimized geometry); values from VASP
! - formation energy (eV/atom) = 0.59
! - ΔE to the lowest computed polymorph (kJ/mol of formula units) = 104.0
! - N(E_F) (states/eV/cell) = 8.5
! - calculated total energy (eV/atom) = -4.1291
&SYSTEM
  ibrav = 0, nat = 4, ntyp = 3
/
ATOMIC_SPECIES
Zr 91.22 Zr.upf
Ba 137.33 Ba.upf
Y 88.91 Y.upf
CELL_PARAMETERS angstrom
5.223 0.000 0.000
0.000 5.223 0.000
0.000 0.000 5.552
ATOMIC_POSITIONS angstrom
Zr 0.000 2.611 2.776
Ba 0.000 0.000 0.000
Ba 2.611 2.611 0.000
Y 2.611 0.000 2.776

---

[15]
! Cs3In5Sb2 (PBE, optimized geometry); values from VASP
! - formation energy without anion corrections (eV per atom) = -0.2221
! - N(E_F) (states/eV/cell) = 5.6
! - calculated total energy (eV/atom) = -2.6718
&SYSTEM
  ibrav = 0, nat = 20, ntyp = 3
/
ATOMIC_SPECIES
Cs 132.91 Cs.upf
In 114.82 In.upf
Sb 121.76 Sb.upf
CELL_PARAMETERS angstrom
-2.753 -6.249 3.685
8.086 -7.015 2.313
3.144 -0.015 10.491
ATOMIC_POSITIONS angstrom
Cs 3.672 -8.323 4.968
Cs -0.688 -1.562 0.921
Cs 4.805 -4.957 11.522
Cs 2.528 -1.628 7.296
Cs 5.949 -11.651 9.194
Cs -2.065 -4.687 2.764
In 4.927 -5.078 7.324
In 4.535 -4.306 4.255
In 3.942 -8.974 12.234
In 6.569 -7.621 8.322
In 1.685 -4.896 5.209
In 3.550 -8.202 9.166
In 0.309 -8.021 7.052
In 6.792 -8.383 11.281
In 8.168 -5.259 9.438
In 1.908 -5.659 8.168
Sb 8.197 -10.928 12.100
Sb 8.302 -6.002 12.362
Sb 0.175 -7.278 4.128
Sb 0.280 -2.352 4.390

---

[16]
! Na2Cd5AgPd2 (PBE, optimized geometry); values from VASP
! - formation energy (eV/atom) = -0.19
! - N(E_F) (states/eV/cell) = 7.9
! - calculated total energy (eV/atom) = -2.2401
&SYSTEM
  ibrav = 0, nat = 20, ntyp = 4
/
ATOMIC_SPECIES
Na 22.99 Na.upf
Ag 107.87 Ag.upf
Pd 106.42 Pd.upf
Cd 112.41 Cd.upf
CELL_PARAMETERS angstrom
3.715 0.000 0.000
0.000 10.875 0.000
0.000 0.000 10.875
ATOMIC_POSITIONS angstrom
Na 0.000 7.317 1.879
Na 0.000 3.559 8.996
Na 0.000 1.879 3.559
Na 0.000 8.996 7.317
Ag 0.000 5.438 5.438
Ag 0.000 0.000 0.000
Pd 0.000 1.405 6.843
Pd 0.000 6.843 9.470
Pd 0.000 9.470 4.033
Pd 0.000 4.033 1.405
Cd 1.858 4.744 3.301
Cd 1.858 7.575 4.744
Cd 1.858 2.137 0.694
Cd 1.858 8.738 10.181
Cd 1.858 0.000 5.438
Cd 1.858 10.181 2.137
Cd 1.858 5.438 0.000
Cd 1.858 6.132 7.575
Cd 1.858 0.694 8.738
Cd 1.858 3.301 6.132

---

[17]
! PbW2Cl (PBE, optimized geometry); values from VASP
! - ΔE to the lowest computed polymorph (kJ/mol of formula units) = 352.2
! - formation energy without anion corrections (eV per atom) = 1.1208
! - N(E_F) (states/eV/cell) = 3.7
! - calculated total energy (eV/atom) = -6.7446
&SYSTEM
  ibrav = 0, nat = 4, ntyp = 3
/
ATOMIC_SPECIES
Cl 35.45 Cl.upf
W 183.84 W.upf
Pb 207.20 Pb.upf
CELL_PARAMETERS angstrom
2.884 0.000 0.000
0.000 5.196 0.000
0.000 0.000 5.098
ATOMIC_POSITIONS angstrom
Cl 1.442 0.000 2.549
W 0.000 0.000 0.000
W 1.442 2.598 0.000
Pb 0.000 2.598 2.549

---

[18]
! DyTmCu (PBE, optimized geometry); values from VASP
! - formation energy (eV/atom) = -0.14
! - ΔE to the lowest computed polymorph (kJ/mol of formula units) = 10.3
! - N(E_F) (states/eV/cell) = 7.9
! - calculated total energy (eV/atom) = -4.5309
&SYSTEM
  ibrav = 0, nat = 6, ntyp = 3
/
ATOMIC_SPECIES
Tm 168.93 Tm.upf
Dy 162.50 Dy.upf
Cu 63.55 Cu.upf
CELL_PARAMETERS angstrom
-1.474 -2.353 2.027
5.944 -0.804 3.389
-2.406 5.798 2.061
ATOMIC_POSITIONS angstrom
Tm 4.516 0.634 4.698
Tm -2.350 3.885 3.479
Dy 0.621 3.498 5.189
Dy 1.546 1.020 2.988
Cu -1.209 1.310 4.234
Cu 1.902 0.856 5.971

---

[19]
! Sm3Al9Ga2 (PBE, optimized geometry); values from VASP
! - formation energy (eV/atom) = -0.37
! - N(E_F) (states/eV/cell) = 3.9
! - calculated total energy (eV/atom) = -4.2214
&SYSTEM
  ibrav = 0, nat = 14, ntyp = 3
/
ATOMIC_SPECIES
Sm 150.36 Sm.upf
Al 26.98 Al.upf
Ga 69.72 Ga.upf
CELL_PARAMETERS angstrom
-3.743 -1.715 -1.437
2.314 -6.364 -5.047
-0.948 -7.154 4.388
ATOMIC_POSITIONS angstrom
Sm 0.000 0.000 0.000
Sm -2.120 -5.464 -1.190
Sm -0.256 -9.769 -0.906
Al -1.760 -12.554 -0.282
Al -0.772 -5.277 1.692
Al -1.604 -9.956 -3.788
Al -0.915 -12.350 -2.727
Al 0.683 -6.759 -0.330
Al 0.701 -4.920 -2.570
Al -1.461 -2.884 0.630
Al -3.078 -10.313 0.474
Al -0.616 -2.679 -1.814
Ga -1.883 -7.785 0.961
Ga -0.494 -7.448 -3.057

---

[20]
! La2SmTmS6 (PBE, optimized geometry); values from VASP
! - formation energy without anion corrections (eV per atom) = -2.0965
! - N(E_F) (states/eV/cell) = 0.0
! - calculated total energy (eV/atom) = -6.4775
&SYSTEM
  ibrav = 0, nat = 10, ntyp = 4
/
ATOMIC_SPECIES
S 32.06 S.upf
Tm 168.93 Tm.upf
Sm 150.36 Sm.upf
La 138.91 La.upf
CELL_PARAMETERS angstrom
7.160 0.000 0.000
3.580 6.200 0.000
3.580 2.067 6.202
ATOMIC_POSITIONS angstrom
S 8.081 2.274 4.722
S 5.715 6.396 1.590
S 9.841 4.254 1.591
S 5.088 4.266 4.722
S 5.923 1.751 1.590
S 8.309 5.861 4.722
Tm 3.580 2.066 0.312
Sm 10.739 6.200 3.463
La 3.580 2.067 5.765
La 7.159 4.134 2.630

---

[21]
! ReRuN2 (PBE, optimized geometry); values from VASP
! - ΔE to the lowest computed polymorph (kJ/mol of formula units) = 26.0
! - formation energy without anion corrections (eV per atom) = 0.3289
! - N(E_F) (states/eV/cell) = 3.0
! - calculated total energy (eV/atom) = -9.2648
&SYSTEM
  ibrav = 0, nat = 4, ntyp = 3
/
ATOMIC_SPECIES
Re 186.21 Re.upf
Ru 101.07 Ru.upf
N 14.01 N.upf
CELL_PARAMETERS angstrom
-3.613 -5.207 2.468
-2.874 -6.164 -0.047
-1.106 -6.373 2.101
ATOMIC_POSITIONS angstrom
Re -3.797 -8.872 2.261
Ru 0.000 0.000 0.000
N -6.841 -15.985 4.074
N -0.753 -1.758 0.448

---

[22]
! Si2Pt2F (PBE, optimized geometry); values from VASP
! - ΔE to the lowest computed polymorph (kJ/mol of formula units) = 0.0
! - formation energy without anion corrections (eV per atom) = -0.5906
! - N(E_F) (states/eV/cell) = 5.5
! - calculated total energy (eV/atom) = -5.5504
&SYSTEM
  ibrav = 0, nat = 10, ntyp = 3
/
ATOMIC_SPECIES
Pt 195.08 Pt.upf
Si 28.09 Si.upf
F 19.00 F.upf
CELL_PARAMETERS angstrom
-2.551 1.292 6.649
1.830 -6.709 2.006
2.498 0.915 0.781
ATOMIC_POSITIONS angstrom
Pt -1.379 -0.128 4.561
Pt 0.658 -5.289 4.094
Pt -1.010 -3.206 6.988
Pt 0.289 -2.211 1.667
Si -0.276 -0.773 6.714
Si 1.131 -4.377 6.434
Si 0.646 -0.125 3.002
Si 2.054 -3.729 2.722
F -0.360 -2.708 4.327
F 0.000 0.000 0.000

---

[23]
! In4Se3 (PBE, optimized geometry); values from VASP
! - ΔE to the lowest computed polymorph (kJ/mol of formula units) = 314.7
! - formation energy without anion corrections (eV per atom) = 0.0408
! - N(E_F) (states/eV/cell) = 2.6
! - calculated total energy (eV/atom) = -3.0174
&SYSTEM
  ibrav = 0, nat = 7, ntyp = 2
/
ATOMIC_SPECIES
Se 78.96 Se.upf
In 114.82 In.upf
CELL_PARAMETERS angstrom
2.954 -5.117 0.000
2.954 5.117 0.000
0.000 0.000 6.172
ATOMIC_POSITIONS angstrom
Se 1.477 -2.558 0.000
Se 1.477 2.558 0.000
Se 2.954 0.000 0.000
In 2.954 -1.706 3.086
In 0.000 0.000 1.505
In 2.954 1.706 3.086
In 0.000 0.000 4.667